#w
Density functional theory data (GGA-PBEsol) for a relaxed structure of CaHf2Ge2.

Computed properties:
Its mass density is 8.15 g/cm3. Its spin magnetization is 0.00 Bohr magnetons per cell.

a = 4.3200 Å, b = 4.3200 Å, c = 6.6604 Å
α = 108.92°, β = 108.92°, γ = 90.00°
With the nearest neighbours (Å) after each atom.
Sites, in units of the cell vectors:
Hf 0.2500 0.7500 0.5000  4 Ge 2.72
Hf 0.7500 0.2500 0.5000  4 Ge 2.72
Ge 0.3898 0.3898 0.7796  1 Ge 2.61, 4 Hf 2.72
Ge 0.6102 0.6102 0.2204  1 Ge 2.61, 4 Hf 2.72
Ca 0.0000 0.0000 0.0000  8 Ge 3.32, 8 Hf 3.66

#x
Density functional theory data (GGA-PBEsol) for a relaxed structure of CaHf2Ge2.

Computed properties:
Its mass density is 7.50 g/cm3. Its spin magnetization is 0.00 Bohr magnetons per cell.

a = 5.0303 Å, b = 5.0303 Å, c = 5.9313 Å
α = 115.09°, β = 115.09°, γ = 90.00°
With the nearest neighbours (Å) after each atom.
Sites, in units of the cell vectors:
Ge 0.2500 0.7500 0.5000  4 Hf 2.63
Ge 0.7500 0.2500 0.5000  4 Hf 2.63
Hf 0.6692 0.6692 0.3383  4 Ge 2.63
Hf 0.3308 0.3308 0.6617  4 Ge 2.63
Ca 0.0000 0.0000 0.0000  2 Hf 3.14, 8 Ge 3.46

Stability summary - winner: #w; margin: 29.0 kJ/mol of atoms.

#w
Density functional theory data (GGA-PBEsol) for a relaxed structure of CaGeI2O.

Computed properties:
Its mass density is 4.43 g/cm3. Its spin magnetization is 0.44 Bohr magnetons per cell.

a = 4.0706 Å, b = 5.9383 Å, c = 5.9383 Å
α = 90.00°, β = 90.00°, γ = 90.00°
With the nearest neighbours (Å) after each atom.
Sites, in units of the cell vectors:
O 0.5000 0.0000 0.0000  2 Ca 2.04
Ca 0.0000 0.0000 0.0000  2 O 2.04
I 0.0000 0.5000 0.0000  2 Ca 2.97
I 0.0000 0.0000 0.5000  2 Ca 2.97
Ge 0.5000 0.5000 0.5000  8 I 3.60

#x
Density functional theory data (GGA-PBEsol) for a relaxed structure of CaGeI2O.

Computed properties:
Its mass density is 4.76 g/cm3. Its spin magnetization is 0.00 Bohr magnetons per cell.

a = 3.8573 Å, b = 5.8811 Å, c = 5.8811 Å
α = 90.00°, β = 90.00°, γ = 90.00°
With the nearest neighbours (Å) after each atom.
Sites, in units of the cell vectors:
Ca 0.5000 0.5000 0.5000  8 I 3.52, 2 Ca 3.86
O 0.5000 0.0000 0.0000  2 Ge 1.93
Ge 0.0000 0.0000 0.0000  2 O 1.93
I 0.0000 0.5000 0.0000  2 Ge 2.94
I 0.0000 0.0000 0.5000  2 Ge 2.94

Stability summary - winner: #x; margin: 28.8 kJ/mol of atoms.